Below is a relaxed structure of AcSmTmAg, with properties calculated at the GGA-PBE level.

Unit cell a=5.5800 b=5.5800 c=5.5800 alpha=60.00 beta=60.00 gamma=60.00
Last column: nearest neighbours and their distance in Å.
Sites, in units of the cell vectors:
Sm1 0.2500 0.2500 0.2500  4 Ac 3.42, 4 Ag 3.42
Tm1 0.7500 0.7500 0.7500  4 Ac 3.42, 4 Ag 3.42
Ac1 0.5000 0.5000 0.5000  4 Tm 3.42, 4 Sm 3.42
Ag1 0.0000 0.0000 0.0000  4 Tm 3.42, 4 Sm 3.42

Summary:
D(E_F): 6.1 states/eV/cell
ΔE_f: 0.731 eV per formula unit


Below is a relaxed structure of LiCo2Cu2, with properties calculated at the GGA-PBE level.

Unit cell a=7.2462 b=7.2462 c=2.4520 alpha=90.00 beta=90.00 gamma=90.00
Last column: nearest neighbours and their distance in Å.
Sites, in units of the cell vectors:
Cu1 0.6829 0.8171 0.5000  6 Co 2.43-2.52, 2 Cu 2.45
Cu2 0.3171 0.1829 0.5000  6 Co 2.43-2.52, 2 Cu 2.45
Cu3 0.8171 0.3171 0.5000  6 Co 2.43-2.52, 2 Cu 2.45
Cu4 0.1829 0.6829 0.5000  6 Co 2.43-2.52, 2 Cu 2.45
Co1 0.6121 0.1121 0.0000  3 Co 2.30-2.45, 6 Cu 2.43-2.52
Co2 0.1121 0.3879 0.0000  3 Co 2.30-2.45, 6 Cu 2.43-2.52
Co3 0.8879 0.6121 0.0000  3 Co 2.30-2.45, 6 Cu 2.43-2.52
Co4 0.3879 0.8879 0.0000  3 Co 2.30-2.45, 6 Cu 2.43-2.52
Li1 0.0000 0.0000 0.0000  2 Li 2.45
Li2 0.5000 0.5000 0.0000  2 Li 2.45

Summary:
D(E_F): 11.1 states/eV/cell
Excess energy over the best structure of this formula in the dataset: 0.000 eV/atom
ΔE_f: 0.976 eV per formula unit


Below is a relaxed structure of CaZnIn2, with properties calculated at the GGA-PBE level.

Unit cell a=4.5571 b=4.5572 c=4.6613 alpha=90.00 beta=90.00 gamma=90.00
Last column: nearest neighbours and their distance in Å.
Sites, in units of the cell vectors:
Zn1 0.5000 0.0000 0.5000  4 Ca 3.22, 8 In 3.26
In1 0.0000 0.0000 0.0000  4 In 3.22, 4 Zn 3.26, 4 Ca 3.26
In2 0.5000 0.5000 0.0000  4 In 3.22, 4 Ca 3.26, 4 Zn 3.26
Ca1 0.0000 0.5000 0.5000  4 Zn 3.22, 8 In 3.26

Summary:
D(E_F): 2.8 states/eV/cell
ΔE_f: -0.896 eV per formula unit


Below is a relaxed structure of Ba2P3, with properties calculated at the GGA-PBE level.

Unit cell a=4.3125 b=4.3125 c=9.6887 alpha=90.00 beta=90.00 gamma=120.00
Last column: nearest neighbours and their distance in Å.
Sites, in units of the cell vectors:
Ba1 0.3333 0.6667 0.8007  4 P 3.15-3.22
Ba2 0.6667 0.3333 0.1993  4 P 3.15-3.22
P1 0.3333 0.6667 0.4688  3 P 2.56
P2 0.6667 0.3333 0.5312  3 P 2.56
P3 0.0000 0.0000 0.0000  6 Ba 3.15

Summary:
D(E_F): 4.0 states/eV/cell
Excess energy over the best structure of this formula in the dataset: 0.133 eV/atom
ΔE_f: -2.717 eV per formula unit